Ca2TiTlCl8 | Alexandria via LeMat-Bulk | PBE | relaxed; SG = P2/m (10); V = 28.80 Å³ per atom; formation energy (no corrections) = -176.71 kJ per mole of atoms; magnetic moment = 0.083 μB/atom; DOS(E_F) = 0.41 states/eV/atom
1.0
-2.898 0.205 -5.786
4.194 -3.952 -2.338
-4.978 -6.621 2.257
Ca Ti Tl Cl
2 1 1 8
Direct
0.500 0.500 0.754
0.500 0.500 0.246
0.000 0.000 0.000
0.000 0.000 0.500
0.164 0.778 0.197
0.692 0.745 0.000
0.836 0.222 0.197
0.836 0.222 0.803
0.308 0.255 0.000
0.164 0.778 0.803
0.621 0.727 0.500
0.379 0.273 0.500